PbBr2: optimized geometry, PBE.

Geometry as CIF:
```
data_PbBr2
_cell_length_a 4.2936
_cell_length_b 4.2936
_cell_length_c 14.6223
_cell_angle_alpha 90.00
_cell_angle_beta 90.00
_cell_angle_gamma 120.00
_space_group_name_H-M_alt 'P 63/m m c'
_space_group_IT_number 194
_space_group_name_Hall '-P 6c 2c'
loop_
_atom_site_label
_atom_site_fract_x
_atom_site_fract_y
_atom_site_fract_z
Pb1 0.0000 0.0000 0.2500
Br1 0.3333 0.6667 0.1235
```

Output
E_form (uncorrected), meV per atom: -831
Total DFT energy (no corrections), eV/atom: -3.18

SrCeCd: optimized geometry, PBE.

Geometry as CIF:
```
data_SrCeCd
_cell_length_a 5.757
_cell_length_b 5.497
_cell_length_c 12.355
_cell_angle_alpha 90.00
_cell_angle_beta 91.54
_cell_angle_gamma 90.00
_space_group_name_H-M_alt 'C 1 2/m 1'
_space_group_IT_number 12
_space_group_name_Hall '-C 2y'
loop_
_atom_site_label
_atom_site_fract_x
_atom_site_fract_y
_atom_site_fract_z
Sr1 0.232 0.000 0.276
Ce1 0.208 0.500 0.047
Cd1 0.242 0.500 0.438
```

Output
Total DFT energy (no corrections), eV/atom: -2.86
Relative energy among the computed polymorphs, meV/atom: 0.0
Formation energy, eV/atom: -0.02

AlF: optimized geometry, PBE.

Geometry as CIF:
```
data_AlF
_cell_length_a 5.188
_cell_length_b 5.188
_cell_length_c 5.188
_cell_angle_alpha 90.00
_cell_angle_beta 90.00
_cell_angle_gamma 90.00
_space_group_name_H-M_alt 'F m -3 m'
_space_group_IT_number 225
_space_group_name_Hall '-F 4 2 3'
loop_
_atom_site_label
_atom_site_fract_x
_atom_site_fract_y
_atom_site_fract_z
Al1 0.000 0.000 0.000
F1 0.000 0.000 0.500
```

Output
E_form (uncorrected), meV per atom: -1068
Total DFT energy (no corrections), eV/atom: -3.87